(1)
Here is a geometry-optimized TlOs structure from the Alexandria database. Energies are from PBE.

Volume, Å³/f.u.: 73.0
Energy above the most stable polymorph in this dataset, kJ per mole of atoms: 174.5
Spin magnetization, μB per formula unit: 1.3
N(E_F), states/eV/f.u.: 3.9
Formation energy, eV per formula unit: 4.824
VASP energy, eV per atom: -4.386

Unit cell a=7.5950 b=7.5950 c=7.5950 alpha=90.00 beta=90.00 gamma=90.00
With the nearest neighbours (Å) after each atom.
Space group Pm-3n (No. 223)
One atom of each set of equivalent atoms:
Tl 0.0000 0.2500 0.5000 (multiplicity 6)  4 Os 2.69
Os 0.0000 0.5000 0.2500 (multiplicity 6)  4 Tl 2.69

***

(2)
Here is a geometry-optimized TlOs4 structure from the Alexandria database. Energies are from PBE.

Volume, Å³/f.u.: 88.4
Energy above the most stable polymorph in this dataset, kJ per mole of atoms: 1.5
Spin magnetization, μB per formula unit: 0.0
N(E_F), states/eV/f.u.: 4.6
Formation energy, eV per formula unit: 3.930
VASP energy, eV per atom: -8.671

Unit cell a=3.8713 b=3.8713 c=11.8006 alpha=90.00 beta=90.00 gamma=90.00
With the nearest neighbours (Å) after each atom.
Space group I4/mmm (No. 139)
One atom of each set of equivalent atoms:
Tl 0.0000 0.0000 0.0000 (multiplicity 2)  8 Os 3.01
Os 0.0000 0.0000 0.3942 (multiplicity 4)  5 Os 2.50-2.58
Os 0.0000 0.5000 0.2500 (multiplicity 4)  8 Os 2.58-2.74

***

(3)
Here is a geometry-optimized Tl5Os3 structure from the Alexandria database. Energies are from PBE.

Volume, Å³/f.u.: 163.3
Energy above the most stable polymorph in this dataset, kJ per mole of atoms: 35.0
Spin magnetization, μB per formula unit: 0.0
N(E_F), states/eV/f.u.: 7.5
Formation energy, eV per formula unit: 8.980
VASP energy, eV per atom: -4.568

Unit cell a=7.6612 b=8.7219 c=4.8883 alpha=90.00 beta=90.00 gamma=90.00
With the nearest neighbours (Å) after each atom.
Space group Cmmm (No. 65)
One atom of each set of equivalent atoms:
Tl 0.0000 0.0000 0.0000 (multiplicity 2)  4 Os 2.81, 4 Tl 2.90
Tl 0.0000 0.3101 0.5000 (multiplicity 4)  6 Os 2.95-3.04, 4 Tl 3.15
Tl 0.2500 0.2500 0.0000 (multiplicity 4)  6 Tl 2.90-3.15, 2 Os 2.90
Os 0.0000 0.5000 0.0000 (multiplicity 2)  8 Tl 2.90-2.95
Os 0.1806 0.0000 0.5000 (multiplicity 4)  1 Os 2.77, 6 Tl 2.81-3.04

***

(4)
Here is a geometry-optimized Tl2Os structure from the Alexandria database. Energies are from PBE.

Volume, Å³/f.u.: 71.1
Energy above the most stable polymorph in this dataset, kJ per mole of atoms: 43.2
Spin magnetization, μB per formula unit: 0.0
N(E_F), states/eV/f.u.: 1.2
Formation energy, eV per formula unit: 2.764
VASP energy, eV per atom: -4.399

Unit cell a=6.5773 b=6.5773 c=6.5773 alpha=90.00 beta=90.00 gamma=90.00
With the nearest neighbours (Å) after each atom.
Space group Fm-3m (No. 225)
One atom of each set of equivalent atoms:
Tl 0.2500 0.2500 0.2500 (multiplicity 8)  4 Os 2.85
Os 0.0000 0.0000 0.0000 (multiplicity 4)  8 Tl 2.85

***

(5)
Here is a geometry-optimized Tl2Os structure from the Alexandria database. Energies are from PBE.

Volume, Å³/f.u.: 79.8
Energy above the most stable polymorph in this dataset, kJ per mole of atoms: 26.8
Spin magnetization, μB per formula unit: 0.0
N(E_F), states/eV/f.u.: 1.8
Formation energy, eV per formula unit: 2.255
VASP energy, eV per atom: -4.569

Unit cell a=4.1116 b=18.2249 c=4.2618 alpha=90.00 beta=90.00 gamma=90.00
With the nearest neighbours (Å) after each atom.
Space group Cmcm (No. 63)
One atom of each set of equivalent atoms:
Tl 0.0000 0.0800 0.2500 (multiplicity 4)  6 Os 2.88-3.09, 2 Tl 3.11
Tl 0.0000 0.2046 0.7500 (multiplicity 4)  6 Tl 3.11-3.39
Os 0.0000 0.4689 0.2500 (multiplicity 4)  2 Os 2.41

***

(6)
Here is a geometry-optimized Tl2Os3 structure from the Alexandria database. Energies are from PBE.

Volume, Å³/f.u.: 95.6
Energy above the most stable polymorph in this dataset, kJ per mole of atoms: 0.0
Spin magnetization, μB per formula unit: 0.0
N(E_F), states/eV/f.u.: 4.4
Formation energy, eV per formula unit: 5.007
VASP energy, eV per atom: -6.683

Unit cell a=9.5367 b=14.6376 c=5.4798 alpha=90.00 beta=90.00 gamma=90.00
With the nearest neighbours (Å) after each atom.
Space group Fdd2 (No. 43)
One atom of each set of equivalent atoms:
Tl 0.0813 0.2023 0.0000 (multiplicity 16)  9 Os 2.93-3.25
Os 0.0000 0.0000 0.1954 (multiplicity 8)  4 Os 2.48-2.60
Os 0.0837 0.1221 0.5074 (multiplicity 16)  4 Os 2.48-2.75